Entry from Alexandria: a relaxed BaHg2Au crystal (PBE).

a b c (Å): 10.9554 10.9554 10.9554
angles (deg): 153.94 122.70 63.98
Element x y z (fractional)
Ba1 0.2078 0.2078 0.0000
Ba2 0.2568 0.0000 0.2568
Ba3 0.7432 0.0000 0.7432
Ba4 0.7922 0.7922 0.0000
Hg1 0.0753 0.5753 0.5000
Hg2 0.1573 0.8075 0.3498
Hg3 0.4164 0.4164 0.0000
Hg4 0.4576 0.8075 0.6502
Hg5 0.5424 0.1925 0.3498
Hg6 0.5836 0.5836 0.0000
Hg7 0.8427 0.1925 0.6502
Hg8 0.9247 0.4247 0.5000
Au1 0.0933 0.3553 0.7380
Au2 0.3827 0.6447 0.7380
Au3 0.6173 0.3553 0.2620
Au4 0.9067 0.6447 0.2620

Total magnetic moment (μB/cell): 0.000
Formation enthalpy at 0 K (eV per atom): -0.47